1.
Entry from the Open Quantum Materials Database: a geometry-optimized PrEr2 structure (PBE).

Computed properties:
DFT formation energy	2.443	eV/atom
M_tot	2.82	μB per formula unit
excess energy over the best structure of this formula in the dataset	2163	meV/atom

a b c (Å): 10.0814 10.0814 10.0814
angles (deg): 60.00 60.00 60.00
Positions (direct):
Pr1 0.1250 0.1250 0.1250
Pr2 0.8750 0.8750 0.8750
Er1 0.0000 0.0000 0.0000
Er2 0.0000 0.0000 0.5000
Er3 0.0000 0.5000 0.0000
Er4 0.5000 0.0000 0.0000

***

2.
Entry from the Open Quantum Materials Database: a geometry-optimized CsLuHf structure (PBE).

Computed properties:
M_tot	0.00	μB per formula unit
calculated total energy	-9.94	eV/f.u.

a b c (Å): 5.2091 5.2091 5.2091
angles (deg): 60.00 60.00 60.00
Positions (direct):
Cs1 0.0000 0.0000 0.0000
Lu1 0.2500 0.2500 0.2500
Hf1 0.7500 0.7500 0.7500

***

3.
Entry from the Open Quantum Materials Database: a geometry-optimized NpBeTc structure (PBE).

Computed properties:
M_tot	3.00	μB per formula unit
calculated total energy	-25.48	eV/f.u.

a b c (Å): 4.0843 4.0843 4.0843
angles (deg): 60.00 60.00 60.00
Positions (direct):
Np1 0.0000 0.0000 0.0000
Be1 0.2500 0.2500 0.2500
Tc1 0.5000 0.5000 0.5000

***

4.
Entry from the Open Quantum Materials Database: a geometry-optimized TlPd15 structure (PBE).

Computed properties:
excess energy over the best structure of this formula in the dataset	32	meV/atom

a b c (Å): 5.5215 2.7953 43.6245
angles (deg): 90.00 90.00 90.00
Positions (direct):
Tl1 0.1250 0.2500 0.1536
Tl2 0.8750 0.7500 0.8464
Pd1 0.1240 0.2500 0.7019
Pd2 0.1239 0.2500 0.7939
Pd3 0.1250 0.2500 0.2522
Pd4 0.1250 0.2500 0.3432
Pd5 0.1249 0.2500 0.4327
Pd6 0.1248 0.2500 0.5224
Pd7 0.1248 0.2500 0.6119
Pd8 0.3740 0.7500 0.2061
Pd9 0.3740 0.7500 0.2981
Pd10 0.3748 0.7500 0.3881
Pd11 0.3747 0.7500 0.4775
Pd12 0.3749 0.7500 0.5672
Pd13 0.3750 0.7500 0.6568
Pd14 0.3750 0.7500 0.7471
Pd15 0.3750 0.7500 0.8398
Pd16 0.6250 0.2500 0.1602
Pd17 0.6250 0.2500 0.2529
Pd18 0.6250 0.2500 0.3432
Pd19 0.6251 0.2500 0.4328
Pd20 0.6253 0.2500 0.5225
Pd21 0.6252 0.2500 0.6119
Pd22 0.6260 0.2500 0.7019
Pd23 0.6260 0.2500 0.7939
Pd24 0.8752 0.7500 0.3881
Pd25 0.8752 0.7500 0.4776
Pd26 0.8751 0.7500 0.5673
Pd27 0.8750 0.7500 0.6568
Pd28 0.8750 0.7500 0.7478
Pd29 0.8761 0.7500 0.2061
Pd30 0.8760 0.7500 0.2981

***

5.
Entry from the Open Quantum Materials Database: a geometry-optimized TlB4Os structure (PBE).

Computed properties:
M_tot	0.01	μB per formula unit
excess energy over the best structure of this formula in the dataset	386	meV/atom

a b c (Å): 4.8798 4.8798 4.8798
angles (deg): 143.45 111.93 79.81
Positions (direct):
Tl1 0.0000 0.0000 0.0000
B1 0.0954 0.7566 0.3388
B2 0.4178 0.7566 0.6612
B3 0.5822 0.2434 0.3388
B4 0.9046 0.2434 0.6612
Os1 0.5000 0.5000 0.0000

***

6.
Entry from the Open Quantum Materials Database: a geometry-optimized GaCoReOs structure (PBE).

Computed properties:
M_tot	2.25	μB per formula unit
excess energy over the best structure of this formula in the dataset	0	meV/atom

a b c (Å): 4.2728 4.2728 4.2728
angles (deg): 60.00 60.00 60.00
Positions (direct):
Ga1 0.0000 0.0000 0.0000
Co1 0.2500 0.2500 0.2500
Re1 0.5000 0.5000 0.5000
Os1 0.7500 0.7500 0.7500